No. 1
## CePa2Tc (PBE)

Data for a geometry-optimized CePa2Tc structure.

* energy of formation from the pure elements: 26 meV/atom
* uncorrected energy: -8.797 eV/atom

Lattice parameters (Å, degrees): 3.2699 5.1527 5.1527 90.00 90.00 90.00
Atoms (fractional coordinates):
Pa  0.0000  0.0000  0.5000
Tc  0.5000  0.5000  0.5000
Pa  0.0000  0.5000  0.0000
Ce  0.5000  0.0000  0.0000

---

No. 2
## Al6CrAg (PBE)

Data for a geometry-optimized Al6CrAg structure.

* energy of formation from the pure elements: 158 meV/atom
* uncorrected energy: -4.208 eV/atom

Lattice parameters (Å, degrees): 4.6037 4.6037 7.5248 75.03 75.03 69.96
Atoms (fractional coordinates):
Al  0.6500  0.6500  0.0465
Cr  0.0000  0.0000  0.0000
Al  0.9344  0.4368  0.7046
Al  0.4368  0.9344  0.7046
Ag  0.5000  0.5000  0.5000
Al  0.3500  0.3500  0.9535
Al  0.0656  0.5632  0.2954
Al  0.5632  0.0656  0.2954